This record from Alexandria via LeMat-Bulk describes a geometry-optimized La6BiO12 structure. The functional is PBE-GGA.

Cell lengths 6.9244, 6.9244, 6.9244 Å; angles 98.73, 98.73, 98.73 degrees
Sites, in units of the cell vectors:
O: 0.5611 0.8229 0.4081
O: 0.3049 0.9553 0.0673
O: 0.6951 0.0447 0.9327
O: 0.9553 0.0673 0.3049
O: 0.1771 0.5919 0.4389
O: 0.5919 0.4389 0.1771
O: 0.0447 0.9327 0.6951
O: 0.8229 0.4081 0.5611
O: 0.0673 0.3049 0.9553
O: 0.9327 0.6951 0.0447
O: 0.4389 0.1771 0.5919
O: 0.4081 0.5611 0.8229
La: 0.6055 0.1401 0.3002
La: 0.6998 0.3945 0.8599
La: 0.3945 0.8599 0.6998
La: 0.8599 0.6998 0.3945
La: 0.3002 0.6055 0.1401
La: 0.1401 0.3002 0.6055
Bi: 0.0000 0.0000 0.0000

Properties
Raw total energy = -7.817 eV per atom
Space-group type = R-3
Raw formation energy = -2.93 eV per atom